Record 1
A PBEsol-optimized structure of YSeO3F. Source: Alexandria, functional SCAN.

Cell lengths 6.569, 6.826, 7.125 Å; angles 90.00, 99.30, 90.00 degrees
Element x y z (fractional)
Y 0.139 0.141 0.324
Y 0.139 0.359 0.824
Y 0.861 0.641 0.176
Y 0.861 0.859 0.676
Se 0.355 0.617 0.292
Se 0.355 0.883 0.792
Se 0.645 0.117 0.208
Se 0.645 0.383 0.708
O 0.175 0.036 0.648
O 0.175 0.464 0.148
O 0.176 0.696 0.784
O 0.176 0.804 0.284
O 0.488 0.190 0.363
O 0.488 0.310 0.863
O 0.512 0.690 0.137
O 0.512 0.810 0.637
O 0.824 0.196 0.716
O 0.824 0.304 0.216
O 0.825 0.536 0.852
O 0.825 0.964 0.352
F 0.172 0.110 0.024
F 0.172 0.390 0.524
F 0.828 0.610 0.476
F 0.828 0.890 0.976

Calculated values
Fermi-level density of states   0.00 states/eV per cell
Energy relative to the lowest polymorph listed for this composition   0.0 kJ/mol of formula units
ΔE_f (raw)   -2.63 eV per atom
Magnetic moment   0.00 μB/f.u.

=====

Record 2
A PBEsol-optimized structure of Ti3C2. Source: Alexandria, functional SCAN.

Cell lengths 3.046, 3.046, 15.008 Å; angles 90.00, 90.00, 120.00 degrees
Element x y z (fractional)
Ti 0.000 0.000 0.000
Ti 0.000 0.000 0.500
Ti 0.333 0.667 0.156
Ti 0.333 0.667 0.344
Ti 0.667 0.333 0.656
Ti 0.667 0.333 0.844
C 0.333 0.667 0.586
C 0.333 0.667 0.914
C 0.667 0.333 0.086
C 0.667 0.333 0.414

Calculated values
Fermi-level density of states   2.22 states/eV per cell
Magnetic moment   0.00 μB/f.u.
DFT formation energy   -0.79 eV per atom

=====

Record 3
A PBEsol-optimized structure of AlInTe2. Source: Alexandria, functional SCAN.

Cell lengths 6.904, 6.904, 6.904 Å; angles 111.74, 111.74, 105.03 degrees
Element x y z (fractional)
Al 0.000 0.000 0.000
Al 0.750 0.250 0.500
In 0.250 0.750 0.500
In 0.500 0.500 0.000
Te 0.059 0.125 0.434
Te 0.375 0.941 0.066
Te 0.691 0.625 0.566
Te 0.875 0.309 0.934

Calculated values
ΔE_f (raw)   -0.32 eV per atom
Magnetic moment   0.00 μB/f.u.

=====

Record 4
A PBEsol-optimized structure of CdInP2. Source: Alexandria, functional SCAN.

Cell lengths 3.758, 3.912, 5.327 Å; angles 90.00, 90.00, 90.00 degrees
Element x y z (fractional)
Cd 0.000 0.000 0.000
In 0.000 0.500 0.500
P 0.500 0.000 0.500
P 0.500 0.500 0.000

Calculated values
Fermi-level density of states   1.92 states/eV per cell
Magnetic moment   0.00 μB/f.u.
DFT formation energy   0.44 eV per atom

=====

Record 5
A PBEsol-optimized structure of SrIBrN2. Source: Alexandria, functional SCAN.

Cell lengths 4.438, 4.438, 5.462 Å; angles 90.00, 90.00, 90.00 degrees
Element x y z (fractional)
Sr 0.000 0.000 0.000
I 0.500 0.500 0.000
Br 0.500 0.500 0.500
N 0.000 0.500 0.500
N 0.500 0.000 0.500

Calculated values
Fermi-level density of states   1.21 states/eV per cell
ΔE_f (raw)   1.25 eV per atom
Magnetic moment   1.58 μB/f.u.

=====

Record 6
A PBEsol-optimized structure of AgIr3Pb. Source: Alexandria, functional SCAN.

Cell lengths 4.750, 4.750, 4.750 Å; angles 90.00, 90.00, 90.00 degrees
Element x y z (fractional)
Ag 0.000 0.000 0.000
Ir 0.000 0.000 0.500
Ir 0.000 0.500 0.000
Ir 0.500 0.000 0.000
Pb 0.500 0.500 0.500

Calculated values
Fermi-level density of states   5.75 states/eV per cell
Magnetic moment   0.00 μB/f.u.
DFT formation energy   2.27 eV per atom

=====

Record 7
A PBEsol-optimized structure of Mn2TlAu. Source: Alexandria, functional SCAN.

Cell lengths 4.557, 4.557, 4.557 Å; angles 60.00, 60.00, 60.00 degrees
Element x y z (fractional)
Mn 0.250 0.250 0.250
Mn 0.750 0.750 0.750
Tl 0.000 0.000 0.000
Au 0.500 0.500 0.500

Calculated values
Fermi-level density of states   1.62 states/eV per cell
Energy relative to the lowest polymorph listed for this composition   0.0 kJ/mol of formula units
Magnetic moment   8.24 μB/f.u.
DFT formation energy   -0.14 eV per atom

=====

Record 8
A PBEsol-optimized structure of La2ZnCo. Source: Alexandria, functional SCAN.

Cell lengths 4.423, 5.862, 5.862 Å; angles 38.81, 90.00, 90.00 degrees
Element x y z (fractional)
La 0.000 0.000 0.000
La 0.500 0.273 0.273
Zn 0.500 0.568 0.568
Co 0.000 0.678 0.678

Calculated values
Fermi-level density of states   3.76 states/eV per cell
Magnetic moment   0.00 μB/f.u.
DFT formation energy   -0.09 eV per atom

=====

Record 9
A PBEsol-optimized structure of Y3Co. Source: Alexandria, functional SCAN.

Cell lengths 6.846, 9.309, 6.170 Å; angles 90.00, 90.00, 90.00 degrees
Element x y z (fractional)
Y 0.044 0.250 0.141
Y 0.174 0.068 0.677
Y 0.174 0.432 0.677
Y 0.326 0.568 0.177
Y 0.326 0.932 0.177
Y 0.456 0.750 0.641
Y 0.544 0.250 0.359
Y 0.674 0.068 0.823
Y 0.674 0.432 0.823
Y 0.826 0.568 0.323
Y 0.826 0.932 0.323
Y 0.956 0.750 0.859
Co 0.112 0.750 0.453
Co 0.388 0.250 0.953
Co 0.612 0.750 0.047
Co 0.888 0.250 0.547

Calculated values
Fermi-level density of states   17.80 states/eV per cell
Magnetic moment   0.00 μB/f.u.
DFT formation energy   -0.08 eV per atom

=====

Record 10
A PBEsol-optimized structure of Sr2LiIn2. Source: Alexandria, functional SCAN.

Cell lengths 8.084, 8.084, 4.978 Å; angles 90.00, 90.00, 90.00 degrees
Element x y z (fractional)
Sr 0.168 0.332 0.000
Sr 0.332 0.832 0.000
Sr 0.668 0.168 0.000
Sr 0.832 0.668 0.000
Li 0.000 0.000 0.500
Li 0.500 0.500 0.500
In 0.132 0.632 0.500
In 0.368 0.132 0.500
In 0.632 0.868 0.500
In 0.868 0.368 0.500

Calculated values
Fermi-level density of states   8.01 states/eV per cell
Magnetic moment   0.00 μB/f.u.
DFT formation energy   -0.39 eV per atom

=====

Record 11
A PBEsol-optimized structure of TaCoSi2. Source: Alexandria, functional SCAN.

Cell lengths 4.636, 4.636, 4.448 Å; angles 106.69, 106.69, 35.55 degrees
Element x y z (fractional)
Ta 0.000 0.000 0.000
Co 0.246 0.246 0.630
Si 0.518 0.518 0.504
Si 0.759 0.759 0.204

Calculated values
Fermi-level density of states   1.71 states/eV per cell
ΔE_f (raw)   -0.20 eV per atom
Magnetic moment   0.89 μB/f.u.

=====

Record 12
A PBEsol-optimized structure of RbMoPt2Rh. Source: Alexandria, functional SCAN.

Cell lengths 4.722, 4.722, 5.228 Å; angles 90.00, 90.00, 90.00 degrees
Element x y z (fractional)
Rb 0.000 0.000 0.000
Mo 0.000 0.000 0.500
Pt 0.000 0.500 0.500
Pt 0.500 0.000 0.500
Rh 0.500 0.500 0.000

Calculated values
Fermi-level density of states   3.95 states/eV per cell
Magnetic moment   1.58 μB/f.u.
DFT formation energy   1.64 eV per atom

=====

Record 13
A PBEsol-optimized structure of Li2CaRe. Source: Alexandria, functional SCAN.

Cell lengths 5.210, 5.210, 5.210 Å; angles 135.08, 135.08, 65.40 degrees
Element x y z (fractional)
Li 0.000 0.000 0.000
Li 0.750 0.250 0.500
Ca 0.250 0.750 0.500
Re 0.500 0.500 0.000

Calculated values
Fermi-level density of states   1.96 states/eV per cell
Energy relative to the lowest polymorph listed for this composition   113.3 kJ/mol of formula units
Magnetic moment   1.21 μB/f.u.
DFT formation energy   0.88 eV per atom

=====

Record 14
A PBEsol-optimized structure of Mg2CuW. Source: Alexandria, functional SCAN.

Cell lengths 4.863, 4.863, 2.748 Å; angles 90.00, 90.00, 90.00 degrees
Element x y z (fractional)
Mg 0.000 0.500 0.000
Mg 0.500 0.000 0.000
Cu 0.000 0.000 0.500
W 0.500 0.500 0.500

Calculated values
Fermi-level density of states   2.86 states/eV per cell
Energy relative to the lowest polymorph listed for this composition   52.2 kJ/mol of formula units
Magnetic moment   0.00 μB/f.u.
DFT formation energy   0.57 eV per atom